Computed, not measured: a relaxed BiOsCSe2 crystal at the PBE level of DFT.

Cell: 4.626 4.626 6.028 Å, 90.00 90.00 90.00°
Space group P4/mmm (No. 123)
Unique sites:
Bi: 0.000 0.000 0.000 [1 per cell]
Os: 0.000 0.000 0.500 [1 per cell]
C: 0.500 0.500 0.000 [1 per cell]
Se: 0.000 0.500 0.500 [2 per cell]

For the final energy, the calculation gives -4.518 eV/atom.